First-principles (PBE) data for Rb2LaMgBr after structural relaxation, as listed in the Alexandria database.

POSCAR file:
```
Rb2LaMgBr
1.0
-3.3692 -2.5789 6.6587
-1.8184 -5.1838 -2.9278
6.7579 -3.5298 2.0523
Rb Mg La Br
2 1 1 1
Cartesian
3.3790 -1.7649 1.0262 Rb
-1.6846 -1.2894 3.3294 Rb
-0.9092 -2.5919 -1.4639 Mg
0.0000 0.0000 0.0000 La
0.7851 -5.6462 2.8916 Br
```

Calculated values
Space-group type: P4/mmm

***

First-principles (PBE) data for La2MgRuBr after structural relaxation, as listed in the Alexandria database.

POSCAR file:
```
La2MgRuBr
1.0
-0.2170 -3.9886 -3.6652
5.0460 -1.4828 1.3148
-1.9040 -3.2467 3.6459
La Ru Mg Br
2 1 1 1
Cartesian
2.5230 -0.7414 0.6574 La
-0.1085 -1.9943 -1.8326 La
0.0000 0.0000 0.0000 Ru
-0.9520 -1.6234 1.8230 Mg
1.4625 -4.3590 0.6477 Br
```

Calculated values
Space-group type: P4/mmm

***

First-principles (PBE) data for La2MgSBr after structural relaxation, as listed in the Alexandria database.

POSCAR file:
```
La2MgSBr
1.0
5.5961 0.0000 0.0000
0.0000 5.7159 0.0000
0.0000 0.0000 5.5961
La Br Mg S
2 1 1 1
Cartesian
0.0000 0.0000 2.7980 La
2.7980 0.0000 0.0000 La
0.0000 0.0000 0.0000 Br
2.7980 2.8579 2.7980 Mg
0.0000 2.8579 0.0000 S
```

Calculated values
Space-group type: P4/mmm

***

First-principles (PBE) data for La6MgTc2Br3 after structural relaxation, as listed in the Alexandria database.

POSCAR file:
```
La6MgTc2Br3
1.0
-0.6730 0.1695 -4.2260
7.8474 -4.4139 -1.4267
-11.0469 -3.9044 3.7725
Br La Mg Tc
3 6 1 2
Cartesian
-5.8836 -3.3673 -1.3681 Br
3.5872 -2.1222 -2.8264 Br
2.0112 -4.7815 -0.5120 Br
-0.4440 -7.0000 -0.2100 La
-3.1979 -4.5301 0.3275 La
-3.4284 -1.1488 -1.6701 La
-5.4989 -6.5203 -1.5558 La
-0.6746 -3.6188 -2.2077 La
1.6265 -1.6285 -0.3243 La
-0.3365 0.0847 -2.1130 Mg
-2.4723 -6.3296 -2.0302 Tc
-1.4001 -1.8192 0.1500 Tc
```

Calculated values
Space-group type: C2/m

***

First-principles (PBE) data for LaMgTlBr6 after structural relaxation, as listed in the Alexandria database.

POSCAR file:
```
LaMgTlBr6
1.0
-5.6103 -4.6668 -1.1299
6.1286 -2.3452 3.3871
-5.6267 3.6821 12.7301
Br Tl Mg La
12 2 2 2
Cartesian
-4.0693 -4.8749 1.8735 Br
-3.7097 -4.6729 5.5909 Br
-3.1221 -2.0453 9.6148 Br
0.3825 -1.5970 11.0341 Br
-5.4910 -1.7329 3.9532 Br
-0.6003 -3.9440 3.1375 Br
-4.5081 0.6141 11.8498 Br
-1.9863 -1.2846 5.3726 Br
-1.3987 1.3430 9.3965 Br
-1.0391 1.5451 13.1139 Br
-2.7677 -1.3252 1.4221 Br
-2.3408 -2.0046 13.5653 Br
0.0000 0.0000 0.0000 Tl
-2.8133 1.8411 6.3651 Tl
-3.1040 -2.9724 3.5583 Mg
-2.0044 -0.3574 11.4291 Mg
0.8089 -2.1985 5.0640 La
-5.9174 -1.1313 9.9234 La
```

Calculated values
Space-group type: P-31c

***

First-principles (PBE) data for La2MnBr after structural relaxation, as listed in the Alexandria database.

POSCAR file:
```
La2MnBr
1.0
8.4821 0.0002 0.0003
6.8932 4.9427 -0.0003
-7.7263 -2.3512 2.5927
La Mn Br
2 1 1
Cartesian
2.8775 -0.3719 1.2965 La
14.8484 4.7736 0.0000 La
8.7855 2.8244 0.0000 Mn
4.2006 2.7801 1.2962 Br
```

Calculated values
ΔE to the lowest computed polymorph, meV/atom: 106.6
Space-group type: Imm2

***

First-principles (PBE) data for LaMnBr2 after structural relaxation, as listed in the Alexandria database.

POSCAR file:
```
LaMnBr2
1.0
-3.4326 0.8081 -1.2171
-0.9143 -3.6119 0.1805
-3.5394 -2.4826 8.3341
Br Mn La
2 1 1
Cartesian
-2.9929 -1.0296 2.0400 Br
-3.2700 -2.6207 7.4826 Br
-5.0946 -4.1550 5.8925 Mn
-2.2952 -3.0111 4.4740 La
```

Calculated values
ΔE to the lowest computed polymorph, meV/atom: 0.0
Space-group type: Pm

***

First-principles (PBE) data for La2MnBr after structural relaxation, as listed in the Alexandria database.

POSCAR file:
```
La2MnBr
1.0
0.0014 -4.6823 -4.7073
5.0123 -1.2348 -4.1755
-1.3418 0.9582 6.4315
La Mn Br
2 1 1
Cartesian
3.0886 -1.6176 -1.0927 La
0.0000 0.0000 0.0000 La
2.5068 -2.9586 -4.4414 Mn
0.5832 -3.3413 -1.3586 Br
```

Calculated values
ΔE to the lowest computed polymorph, meV/atom: 279.5
Space-group type: I-4m2

***

First-principles (PBE) data for La2MnBr2 after structural relaxation, as listed in the Alexandria database.

POSCAR file:
```
La2MnBr2
1.0
-0.5115 4.1070 -4.2227
-4.9231 2.0294 2.5701
-0.5845 5.5331 1.3127
Br La Mn
2 2 1
Cartesian
-1.8608 4.0580 0.0326 Br
-4.1582 7.6116 -0.3725 Br
-1.9066 6.3542 -1.8681 La
-4.1124 5.3154 1.5283 La
0.0000 0.0000 0.0000 Mn
```

Calculated values
Space-group type: I4/mmm

***

First-principles (PBE) data for LaMn3Br after structural relaxation, as listed in the Alexandria database.

POSCAR file:
```
LaMn3Br
1.0
-1.2692 -4.5434 -2.8137
2.4843 -3.0621 3.8239
-4.7316 -0.3890 2.7625
Br Mn La
1 3 1
Cartesian
-1.7582 -3.9973 1.8863 Br
-2.3658 -0.1945 1.3812 Mn
-0.6346 -2.2717 -1.4068 Mn
1.2422 -1.5310 1.9120 Mn
0.0000 0.0000 0.0000 La
```

Calculated values
ΔE to the lowest computed polymorph, meV/atom: 432.4
Space-group type: Pm-3m

***

First-principles (PBE) data for LaMnBr2 after structural relaxation, as listed in the Alexandria database.

POSCAR file:
```
LaMnBr2
1.0
-4.7399 4.2531 -0.1409
-5.4451 -1.0401 -3.1375
3.8849 -2.8690 4.1535
Mn Br La
1 2 1
Cartesian
-2.9737 1.4953 1.1867 Mn
0.0000 0.0000 0.0000 Br
-3.3263 -1.1513 -0.3116 Br
-5.0925 1.6065 -1.6392 La
```

Calculated values
ΔE to the lowest computed polymorph, meV/atom: 276.4
Space-group type: I-4m2

***

First-principles (PBE) data for La2MnBr after structural relaxation, as listed in the Alexandria database.

POSCAR file:
```
La2MnBr
1.0
-2.1486 -2.7556 4.0490
-3.8510 -3.5870 -0.9525
1.0231 -5.2237 0.5201
La Mn Br
2 1 1
Cartesian
-1.2441 -2.8916 0.9041 La
0.0000 0.0000 0.0000 La
-3.7323 -8.6747 2.7124 Mn
-2.4882 -5.7831 1.8083 Br
```

Calculated values
ΔE to the lowest computed polymorph, meV/atom: 638.1
Space-group type: F-43m

***

First-principles (PBE) data for La4MnBr after structural relaxation, as listed in the Alexandria database.

POSCAR file:
```
La4MnBr
1.0
0.0000 4.6065 4.6065
4.6065 0.0000 4.6065
4.6065 4.6065 0.0000
Mn La Br
1 4 1
Cartesian
6.9098 6.9098 6.9098 Mn
5.7372 5.7372 3.4759 La
5.7372 3.4759 5.7372 La
3.4759 5.7372 5.7372 La
3.4759 3.4759 3.4759 La
0.0000 0.0000 0.0000 Br
```

Calculated values
Space-group type: F-43m

***

First-principles (PBE) data for La5MnBr5 after structural relaxation, as listed in the Alexandria database.

POSCAR file:
```
La5MnBr5
1.0
6.1003 0.0000 0.0000
-3.0501 6.2932 -2.4002
0.0000 -0.0413 8.9408
Br La Mn
5 5 1
Cartesian
3.0501 1.8547 6.3730 Br
0.0000 -0.0207 4.4704 Br
3.0502 2.1542 2.3517 Br
0.0000 4.3971 0.1676 Br
0.0000 4.0976 4.1889 Br
3.0501 0.0000 0.0000 La
0.0000 1.6954 1.7814 La
0.0000 2.0874 6.9019 La
3.0501 4.5565 4.7592 La
3.0501 4.1644 -0.3613 La
0.0000 0.0000 0.0000 Mn
```

Calculated values
Space-group type: C2/m

***

First-principles (PBE) data for La2MnBr after structural relaxation, as listed in the Alexandria database.

POSCAR file:
```
La2MnBr
1.0
2.2007 -4.7702 1.1520
-2.5237 -3.3937 3.3225
-2.2007 -4.5127 -1.9281
Br Mn La
1 1 2
Cartesian
-1.2619 -6.3383 1.2733 Br
0.0000 0.0000 0.0000 Mn
-1.8928 -9.5075 1.9099 La
-0.6309 -3.1692 0.6366 La
```

Calculated values
ΔE to the lowest computed polymorph, meV/atom: 294.2
Space-group type: Fm-3m

***

First-principles (PBE) data for LaMnBr2 after structural relaxation, as listed in the Alexandria database.

POSCAR file:
```
LaMnBr2
1.0
-2.9923 3.8671 1.8582
0.2210 4.7530 -2.1730
-4.0303 1.7754 -2.8225
Br Mn La
2 1 1
Cartesian
-5.1012 7.7966 -2.3530 Br
-1.7004 2.5989 -0.7843 Br
0.0000 0.0000 0.0000 Mn
-3.4008 5.1977 -1.5686 La
```

Calculated values
ΔE to the lowest computed polymorph, meV/atom: 215.2
Space-group type: Fm-3m

***

First-principles (PBE) data for LaMnBr2 after structural relaxation, as listed in the Alexandria database.

POSCAR file:
```
LaMnBr2
1.0
-2.3355 0.5349 -5.5895
-4.2240 -2.1145 -3.8301
-4.2179 3.2369 0.3468
Br La Mn
2 1 1
Cartesian
-6.7712 -1.3410 -9.2875 Br
-8.0594 1.0702 -7.0393 Br
-5.8069 1.0103 -4.7117 La
-2.0881 0.1666 -1.9905 Mn
```

Calculated values
ΔE to the lowest computed polymorph, meV/atom: 158.2
Space-group type: Cm

***

First-principles (PBE) data for LaMnBr2 after structural relaxation, as listed in the Alexandria database.

POSCAR file:
```
LaMnBr2
1.0
3.7155 0.0033 0.0000
-1.8017 3.2494 0.0000
0.0000 0.0000 9.7587
Mn Br La
1 2 1
Cartesian
0.9569 1.6264 7.3190 Mn
0.0000 0.0000 4.8217 Br
0.0000 0.0000 0.0577 Br
0.9569 1.6264 2.4397 La
```

Calculated values
ΔE to the lowest computed polymorph, meV/atom: 358.3
Space-group type: Cmmm

***

First-principles (PBE) data for LaMnBr2 after structural relaxation, as listed in the Alexandria database.

POSCAR file:
```
LaMnBr2
1.0
-1.6077 4.9320 -1.2642
-4.3975 2.0320 2.2450
0.4070 3.9403 3.5798
Br Mn La
2 1 1
Cartesian
-1.3995 2.7261 1.1401 Br
0.0000 0.0000 0.0000 Br
-4.1986 8.1782 3.4204 Mn
-2.7991 5.4522 2.2803 La
```

Calculated values
ΔE to the lowest computed polymorph, meV/atom: 489.4
Space-group type: F-43m

***

First-principles (PBE) data for La2MnBr after structural relaxation, as listed in the Alexandria database.

POSCAR file:
```
La2MnBr
1.0
-4.8594 -4.4678 2.8856
4.4523 -5.5553 -1.1035
1.7236 -4.3233 5.2020
Mn Br La
2 2 4
Cartesian
2.9862 -7.4451 2.4948 Mn
-0.2035 -5.0115 0.8911 Mn
-1.6697 -6.9014 4.4893 Br
0.0000 0.0000 0.0000 Br
2.1476 -5.5330 1.2439 La
0.5163 -11.4884 5.5650 La
1.5603 -7.5255 4.4656 La
-1.5911 -4.1460 2.6937 La
```

Calculated values
ΔE to the lowest computed polymorph, meV/atom: 203.6
Space-group type: I-42d

***

These records have E_form (uncorrected) values of 204, -249, -59, -762, -1357, -126, -301, -59, -176, 732, -194, 79, 233, -1258, -54, -218, -240, -163, -112, -89 kJ/mol of formula units, in the order they appear.
These records have DOS(E_F) values of 6.13, 2.99, 4.05, 9.49, 0.00, 2.16, 1.37, 5.26, 7.96, 3.30, 4.46, 6.31, 8.69, 11.13, 8.64, 1.94, 1.95, 2.12, 6.28, 6.19 states/eV/cell, in the order they appear.